1.
Material: Er5GaSe5
Method: DFT, PBE
State: optimized geometry

Lattice parameters (Å, degrees): 5.7297 7.0676 8.1137 106.80 90.00 113.91
Fractional coordinates of all 11 atoms:
Er (0.1628, 0.3256, 0.3317)
Er (0.5000, 0.0000, 0.0000)
Er (0.8372, 0.6744, 0.6683)
Er (0.1596, 0.3192, 0.8290)
Er (0.8404, 0.6808, 0.1710)
Se (0.6702, 0.3404, 0.8368)
Se (0.6728, 0.3457, 0.3344)
Se (0.3272, 0.6543, 0.6656)
Se (0.3298, 0.6596, 0.1632)
Se (0.0000, 0.0000, 0.5000)
Ga (0.0000, 0.0000, 0.0000)

Summary:
Uncorrected formation energy, eV/atom: -1.61
Symmetry: C2/m, No. 12


2.
Material: TlIn6S8
Method: DFT, PBE
State: optimized geometry

Lattice parameters (Å, degrees): 8.9655 8.9656 8.9656 60.00 60.00 60.00
Fractional coordinates of all 15 atoms:
Tl (0.0000, 0.0000, 0.0000)
In (0.0000, 0.0000, 0.5000)
In (0.0000, 0.5000, 0.0000)
In (0.5000, 0.5000, 0.0000)
In (0.5000, 0.0000, 0.5000)
In (0.5000, 0.0000, 0.0000)
In (0.0000, 0.5000, 0.5000)
S (0.1450, 0.1450, 0.1450)
S (0.8550, 0.8550, 0.4351)
S (0.1450, 0.1450, 0.5649)
S (0.5649, 0.1450, 0.1450)
S (0.4351, 0.8550, 0.8550)
S (0.1450, 0.5649, 0.1450)
S (0.8550, 0.8550, 0.8550)
S (0.8550, 0.4351, 0.8550)

Summary:
Uncorrected formation energy, eV/atom: -0.11
Symmetry: Fm-3m, No. 225
Distance to the lowest polymorph of the same formula, meV/atom: 278


3.
Material: LiAcZn
Method: DFT, PBE
State: optimized geometry

Lattice parameters (Å, degrees): 6.0251 6.2496 8.9940 112.28 90.00 90.00
Fractional coordinates of all 12 atoms:
Li (0.3840, 0.0986, 0.2040)
Li (0.8840, 0.9014, 0.2960)
Li (0.1160, 0.0986, 0.7040)
Li (0.6160, 0.9014, 0.7960)
Ac (0.6387, 0.2967, 0.6275)
Ac (0.3613, 0.7033, 0.3725)
Ac (0.8613, 0.2967, 0.1275)
Ac (0.1387, 0.7033, 0.8725)
Zn (0.1331, 0.2884, 0.4686)
Zn (0.6331, 0.7116, 0.0314)
Zn (0.3669, 0.2884, 0.9686)
Zn (0.8669, 0.7116, 0.5314)

Summary:
Energy of formation from the pure elements, kJ per mole of atoms: -11.1
Symmetry: P2_1/c, No. 14
Distance to the lowest polymorph of the same formula, meV/atom: 1


4.
Material: Pa14TiNb
Method: DFT, PBE
State: optimized geometry

Lattice parameters (Å, degrees): 6.3729 6.3729 10.8806 90.00 90.00 120.27
Fractional coordinates of all 16 atoms:
Pa (0.1251, 0.3747, 0.0000)
Pa (0.3745, 0.6255, 0.2560)
Pa (0.8753, 0.1247, 0.2561)
Pa (0.6247, 0.8747, 0.5000)
Pa (0.6252, 0.3748, 0.0000)
Pa (0.6253, 0.8749, 0.0000)
Pa (0.3753, 0.1255, 0.2559)
Pa (0.8745, 0.6247, 0.7441)
Pa (0.3745, 0.6255, 0.7440)
Pa (0.8753, 0.1247, 0.7439)
Pa (0.3753, 0.1255, 0.7441)
Pa (0.1252, 0.8748, 0.0000)
Pa (0.8745, 0.6247, 0.2559)
Pa (0.1253, 0.3753, 0.5000)
Ti (0.6253, 0.3747, 0.5000)
Nb (0.1247, 0.8753, 0.5000)

Summary:
Energy of formation from the pure elements, kJ per mole of atoms: 4.3
Symmetry: Amm2, No. 38


5.
Material: CdIrOs2
Method: DFT, PBE
State: optimized geometry

Lattice parameters (Å, degrees): 4.8691 4.8691 4.8831 80.64 80.64 33.19
Fractional coordinates of all 4 atoms:
Os (0.5118, 0.5118, 0.4773)
Os (0.9882, 0.9882, 0.0227)
Cd (0.7500, 0.7500, 0.7500)
Ir (0.2500, 0.2500, 0.2500)

Summary:
Energy of formation from the pure elements, kJ per mole of atoms: 41.6
Symmetry: C2/m, No. 12


6.
Material: HfBe4Ru
Method: DFT, PBE
State: optimized geometry

Lattice parameters (Å, degrees): 4.5287 4.5287 4.5287 60.00 60.00 60.00
Fractional coordinates of all 6 atoms:
Be (0.6264, 0.6264, 0.1208)
Be (0.6264, 0.6264, 0.6264)
Be (0.6264, 0.1208, 0.6264)
Be (0.1208, 0.6264, 0.6264)
Hf (0.2500, 0.2500, 0.2500)
Ru (0.0000, 0.0000, 0.0000)

Summary:
Energy of formation from the pure elements, kJ per mole of atoms: -47.9
Symmetry: F-43m, No. 216


7.
Material: VHgTeI2
Method: DFT, PBE
State: optimized geometry

Lattice parameters (Å, degrees): 5.8077 5.8077 5.7820 90.00 90.00 90.00
Each line ends with the local moment (μB).
Fractional coordinates of all 5 atoms:
I (0.0000, 0.5000, 0.0000)  -0.04
I (0.5000, 0.0000, 0.0000)  -0.04
Te (0.0000, 0.0000, 0.5000)  -0.24
Hg (0.0000, 0.0000, 0.0000)  -0.01
V (0.5000, 0.5000, 0.5000)  3.13

Summary:
Uncorrected formation energy, eV/atom: 0.77
Symmetry: P4/mmm, No. 123
Distance to the lowest polymorph of the same formula, meV/atom: 756


8.
Material: CeNdSe2O
Method: DFT, PBE
State: optimized geometry

Lattice parameters (Å, degrees): 4.0829 4.0829 14.7140 90.00 90.00 90.00
Each line ends with the local moment (μB).
Fractional coordinates of all 10 atoms:
O (0.5000, 0.5000, 0.5000)  -0.03
O (0.0000, 0.0000, 0.5000)  -0.03
Nd (0.0000, 0.5000, 0.8760)  0.00
Nd (0.5000, 0.0000, 0.1240)  0.00
Se (0.5000, 0.0000, 0.9081)  0.00
Se (0.0000, 0.5000, 0.6837)  -0.01
Se (0.0000, 0.5000, 0.0919)  0.00
Se (0.5000, 0.0000, 0.3163)  -0.01
Ce (0.5000, 0.0000, 0.5814)  0.72
Ce (0.0000, 0.5000, 0.4186)  0.72

Summary:
Uncorrected formation energy, eV/atom: -2.40
Symmetry: P4/nmm, No. 129


9.
Material: Ac8AgRh4
Method: DFT, PBE
State: optimized geometry

Lattice parameters (Å, degrees): 4.3882 10.5759 10.7540 89.50 78.23 78.03
Fractional coordinates of all 13 atoms:
Ag (0.5813, 0.8988, 0.9386)
Ac (0.4609, 0.6771, 0.4011)
Ac (0.1434, 0.6619, 0.0514)
Ac (0.8296, 0.0116, 0.3292)
Ac (0.5505, 0.2934, 0.6056)
Ac (0.1821, 0.9574, 0.6785)
Ac (0.8682, 0.3117, 0.9520)
Ac (0.8263, 0.6201, 0.7273)
Ac (0.1760, 0.3607, 0.2873)
Rh (0.3504, 0.4640, 0.8352)
Rh (0.1904, 0.1518, 0.4674)
Rh (0.6618, 0.5053, 0.1710)
Rh (0.8243, 0.8186, 0.5329)

Summary:
Energy of formation from the pure elements, kJ per mole of atoms: -46.8
Symmetry: Cm, No. 8


10.
Material: Hf6Tl2N
Method: DFT, PBE
State: optimized geometry

Lattice parameters (Å, degrees): 6.3295 6.3296 8.9363 90.00 90.00 90.00
Fractional coordinates of all 18 atoms:
Tl (0.0000, 0.5000, 0.2500)
Tl (0.0000, 0.5000, 0.7500)
Tl (0.5000, 0.0000, 0.7500)
Tl (0.5000, 0.0000, 0.2500)
Hf (0.7450, 0.2548, 0.5000)
Hf (0.2548, 0.2550, 0.5000)
Hf (0.5000, 0.5000, 0.2553)
Hf (0.7452, 0.7450, 0.5000)
Hf (0.7551, 0.7548, 0.0000)
Hf (0.2449, 0.2452, 0.0000)
Hf (0.2550, 0.7452, 0.5000)
Hf (0.0000, 0.0000, 0.2447)
Hf (0.5000, 0.5000, 0.7447)
Hf (0.0000, 0.0000, 0.7553)
Hf (0.2452, 0.7551, 0.0000)
Hf (0.7548, 0.2449, 0.0000)
N (0.5000, 0.5000, 0.0000)
N (0.0000, 0.0000, 0.5000)

Summary:
Uncorrected formation energy, eV/atom: -0.34
Symmetry: I4/mmm, No. 139


11.
Material: MnSi5
Method: DFT, PBE
State: optimized geometry

Lattice parameters (Å, degrees): 4.9899 4.9899 4.9899 60.00 60.00 60.00
Each line ends with the local moment (μB).
Fractional coordinates of all 6 atoms:
Si (0.8751, 0.3750, 0.3750)  0.01
Si (0.7500, 0.7500, 0.7500)  -0.05
Si (0.3750, 0.3750, 0.8751)  0.01
Si (0.3750, 0.3750, 0.3750)  0.01
Si (0.3750, 0.8751, 0.3750)  0.01
Mn (0.0000, 0.0000, 0.0000)  3.56

Summary:
Uncorrected formation energy, eV/atom: 0.52
Symmetry: F-43m, No. 216
Distance to the lowest polymorph of the same formula, meV/atom: 365


12.
Material: PdRh2Pb6
Method: DFT, PBE
State: optimized geometry

Lattice parameters (Å, degrees): 6.8074 10.8524 10.8524 120.00 90.00 90.00
Fractional coordinates of all 27 atoms:
Rh (0.0000, 0.2912, 0.0000)
Rh (0.0000, 0.0000, 0.7088)
Rh (0.0000, 0.2912, 0.2912)
Rh (0.0000, 0.7088, 0.0000)
Rh (0.0000, 0.0000, 0.2912)
Rh (0.0000, 0.7088, 0.7088)
Pd (0.0000, 0.0000, 0.0000)
Pd (0.4788, 0.6667, 0.3333)
Pd (0.5212, 0.3333, 0.6667)
Pb (0.1945, 0.5554, 0.4446)
Pb (0.2652, 0.2192, 0.4385)
Pb (0.3095, 0.2206, 0.1103)
Pb (0.1945, 0.5554, 0.1108)
Pb (0.7348, 0.7808, 0.5615)
Pb (0.7348, 0.4385, 0.2192)
Pb (0.1945, 0.8892, 0.4446)
Pb (0.3095, 0.8897, 0.7794)
Pb (0.6905, 0.7794, 0.8897)
Pb (0.8055, 0.1108, 0.5554)
Pb (0.8055, 0.4446, 0.8892)
Pb (0.6905, 0.1103, 0.8897)
Pb (0.7348, 0.7808, 0.2192)
Pb (0.6905, 0.1103, 0.2206)
Pb (0.8055, 0.4446, 0.5554)
Pb (0.3095, 0.8897, 0.1103)
Pb (0.2652, 0.5615, 0.7808)
Pb (0.2652, 0.2192, 0.7808)

Summary:
Energy of formation from the pure elements, kJ per mole of atoms: -7.6
Symmetry: P-3m1, No. 164
Distance to the lowest polymorph of the same formula, meV/atom: 0


13.
Material: Tb2Pr4ErSc
Method: DFT, PBE
State: optimized geometry

Lattice parameters (Å, degrees): 5.1426 5.1273 11.1871 62.71 90.00 90.00
Fractional coordinates of all 8 atoms:
Er (0.5000, 0.5000, 0.0000)
Tb (0.5000, 0.0000, 0.5000)
Tb (0.0000, 0.0000, 0.0000)
Pr (0.0000, 0.2446, 0.2546)
Pr (0.5000, 0.2546, 0.7458)
Pr (0.0000, 0.7554, 0.7454)
Pr (0.5000, 0.7454, 0.2542)
Sc (0.0000, 0.5000, 0.5000)

Summary:
Energy of formation from the pure elements, kJ per mole of atoms: 2.6
Symmetry: Pmmm, No. 47


14.
Material: RbSr2ReCl
Method: DFT, PBE
State: optimized geometry

Lattice parameters (Å, degrees): 6.8361 5.4652 6.8361 90.00 90.00 90.00
Each line ends with the local moment (μB).
Fractional coordinates of all 5 atoms:
Cl (0.0000, 0.5000, 0.0000)  0.01
Sr (0.5000, 0.0000, 0.0000)  -0.05
Sr (0.0000, 0.0000, 0.5000)  -0.07
Rb (0.0000, 0.0000, 0.0000)  -0.02
Re (0.5000, 0.5000, 0.5000)  3.54

Summary:
Uncorrected formation energy, eV/atom: 1.25
Symmetry: P4/mmm, No. 123


15.
Material: NiAg2As
Method: DFT, PBE
State: optimized geometry

Lattice parameters (Å, degrees): 4.8504 2.9181 4.6579 88.30 90.00 90.00
Fractional coordinates of all 4 atoms:
Ni (0.5000, 0.7500, 0.7500)
Ag (0.0000, 0.4973, 0.5040)
Ag (0.0000, 0.0027, 0.9960)
As (0.5000, 0.2500, 0.2500)

Summary:
Energy of formation from the pure elements, kJ per mole of atoms: 22.4
Symmetry: P2/m, No. 10


16.
Material: TlReAsBr2
Method: DFT, PBE
State: optimized geometry

Lattice parameters (Å, degrees): 5.4139 5.4139 4.7559 90.00 90.00 90.00
Each line ends with the local moment (μB).
Fractional coordinates of all 5 atoms:
As (0.0000, 0.0000, 0.5000)  -0.05
Tl (0.5000, 0.5000, 0.5000)  0.01
Br (0.0000, 0.5000, 0.0000)  0.03
Br (0.5000, 0.0000, 0.0000)  0.03
Re (0.0000, 0.0000, 0.0000)  0.93

Summary:
Uncorrected formation energy, eV/atom: 0.23
Symmetry: P4/mmm, No. 123
Distance to the lowest polymorph of the same formula, meV/atom: 0


17.
Material: SrAc2TlIr
Method: DFT, PBE
State: optimized geometry

Lattice parameters (Å, degrees): 5.7709 5.7707 5.8979 90.00 90.00 90.00
Fractional coordinates of all 5 atoms:
Tl (0.5000, 0.5000, 0.5036)
Ac (0.5000, 0.0000, 0.9992)
Ac (0.0000, 0.5000, 0.9991)
Ir (0.0000, 0.0000, 0.9990)
Sr (0.0000, 0.0000, 0.4991)

Summary:
Energy of formation from the pure elements, kJ per mole of atoms: -31.9
Symmetry: P4mm, No. 99


18.
Material: CdSbBr2
Method: DFT, PBE
State: optimized geometry

Lattice parameters (Å, degrees): 3.8898 3.8898 9.7770 90.00 90.00 117.50
Fractional coordinates of all 4 atoms:
Br (0.0000, 0.0000, 0.9408)
Br (0.5000, 0.5000, 0.3220)
Cd (0.0000, 0.0000, 0.5045)
Sb (0.5000, 0.5000, 0.7326)

Summary:
Uncorrected formation energy, eV/atom: -0.22
Symmetry: Cmm2, No. 35
Distance to the lowest polymorph of the same formula, meV/atom: 119


19.
Material: VHgPd3
Method: DFT, PBE
State: optimized geometry

Lattice parameters (Å, degrees): 4.6706 4.6706 4.6706 90.00 90.00 90.00
Each line ends with the local moment (μB).
Fractional coordinates of all 5 atoms:
Pd (0.0000, 0.5000, 0.0000)  0.04
Pd (0.5000, 0.0000, 0.0000)  0.04
Pd (0.0000, 0.0000, 0.5000)  0.04
V (0.0000, 0.0000, 0.0000)  1.52
Hg (0.5000, 0.5000, 0.5000)  0.06

Summary:
Energy of formation from the pure elements, kJ per mole of atoms: 60.8
Symmetry: Pm-3m, No. 221
Distance to the lowest polymorph of the same formula, meV/atom: 0


20.
Material: HfCoReMo
Method: DFT, PBE
State: optimized geometry

Lattice parameters (Å, degrees): 4.4594 4.4594 4.4594 60.00 60.00 60.00
Each line ends with the local moment (μB).
Fractional coordinates of all 4 atoms:
Co (0.2500, 0.2500, 0.2500)  1.39
Re (0.7500, 0.7500, 0.7500)  -0.01
Mo (0.0000, 0.0000, 0.0000)  0.45
Hf (0.5000, 0.5000, 0.5000)  -0.05

Summary:
Energy of formation from the pure elements, kJ per mole of atoms: -11.2
Symmetry: F-43m, No. 216


21.
Material: TeAu2Br
Method: DFT, PBE
State: optimized geometry

Lattice parameters (Å, degrees): 4.9941 4.9941 3.9799 90.00 90.00 108.93
Fractional coordinates of all 4 atoms:
Te (0.0000, 0.5000, 0.5000)
Au (0.5000, 0.5000, 0.0000)
Au (0.0000, 0.0000, 0.0000)
Br (0.5000, 0.0000, 0.5000)

Summary:
Uncorrected formation energy, eV/atom: 0.33
Symmetry: Cmmm, No. 65
Distance to the lowest polymorph of the same formula, meV/atom: 364


22.
Material: Cd3In7Pb
Method: DFT, PBE
State: optimized geometry

Lattice parameters (Å, degrees): 6.3194 8.3694 8.3694 82.56 121.79 121.79
Fractional coordinates of all 11 atoms:
Cd (0.0000, 0.2336, 0.7664)
Cd (0.5000, 0.0000, 0.0000)
Cd (0.0000, 0.7664, 0.2336)
In (0.0000, 0.5000, 0.5000)
In (0.6769, 0.9416, 0.4117)
In (0.6769, 0.4117, 0.9416)
In (0.6831, 0.8198, 0.8198)
In (0.3231, 0.5883, 0.0584)
In (0.3231, 0.0584, 0.5883)
In (0.3169, 0.1802, 0.1802)
Pb (0.5000, 0.5000, 0.5000)

Summary:
Energy of formation from the pure elements, kJ per mole of atoms: 9.3
Symmetry: C2/m, No. 12


23.
Material: DyZrIn6
Method: DFT, PBE
State: optimized geometry

Lattice parameters (Å, degrees): 4.5725 4.5725 9.1486 90.00 90.00 90.00
Fractional coordinates of all 8 atoms:
In (0.0000, 0.5000, 0.2562)
In (0.5000, 0.5000, 0.5000)
In (0.5000, 0.5000, 0.0000)
In (0.0000, 0.5000, 0.7438)
In (0.5000, 0.0000, 0.7438)
In (0.5000, 0.0000, 0.2562)
Zr (0.0000, 0.0000, 0.5000)
Dy (0.0000, 0.0000, 0.0000)

Summary:
Energy of formation from the pure elements, kJ per mole of atoms: -28.6
Symmetry: P4/mmm, No. 123